Nb2CuSi2 | GGA-PBE | optimized geometry

a b c (Å): 3.9843 3.9843 11.1958
angles (deg): 90.00 90.00 90.00
Space group I4/mmm (No. 139)
Symmetry-distinct sites (fractional):
Nb 0.0000 0.5000 0.2500 [4 per cell]
Cu 0.0000 0.0000 0.0000 [2 per cell]
Si 0.0000 0.0000 0.4012 [4 per cell]

Properties
Spin magnetization: 0.00 μB/cell
DOS at the Fermi energy: 1.40 states/eV/atom
Raw formation energy: 0.234 eV per atom